This record from the Alexandria database describes a relaxed structure of Li5VCr3O8. The functional is PBE with a Hubbard U.

The structure in CIF format:
```
data_Li5VCr3O8
_chemical_formula_sum 'Li15 V3 Cr9 O24'
_symmetry_space_group_name_H-M 'R -3 m'
_symmetry_Int_Tables_number 166
_symmetry_space_group_name_Hall '-R 3 2"'
_cell_length_a 6.0018
_cell_length_b 6.0018
_cell_length_c 15.2041
_cell_angle_alpha 90.00
_cell_angle_beta 90.00
_cell_angle_gamma 120.00
loop_
_atom_site_label
_atom_site_fract_x
_atom_site_fract_y
_atom_site_fract_z
Li1 0.0000 0.0000 0.0656
Li2 0.0000 0.5000 0.5000
V1 0.0000 0.0000 0.5000
Cr1 0.0000 0.5000 0.0000
O1 0.0000 0.0000 0.2582
O2 0.0170 0.5085 0.2565
```

## Properties
ρ (g/cm3): 3.88
Raw total energy (Ry per atom): -0.4826
Distance to the lowest polymorph of the same formula (kJ per mole of atoms): 2.1